A relaxed Si2Hg4S crystal. Source: Alexandria via LeMat-Bulk, functional GGA-PBE.

Lattice parameters (Å, degrees): 7.5079 7.5079 7.5079 138.04 138.04 60.84
Last column: nearest neighbours and their distance in Å.
Sites, in units of the cell vectors:
Si 0.0919 0.0919 0.0000  1 Si 2.38, 1 Hg 2.58
Si 0.9081 0.9081 0.0000  1 Si 2.38, 1 Hg 2.58
Hg 0.0000 0.5000 0.5000  2 S 2.69, 4 Si 2.94
Hg 0.2910 0.2910 0.0000  1 Si 2.58, 1 S 2.71
Hg 0.5000 0.0000 0.5000  2 S 2.69, 4 Si 2.94
Hg 0.7090 0.7090 0.0000  1 Si 2.58, 1 S 2.71
S 0.5000 0.5000 0.0000  6 Hg 2.69-2.71

Results
- DOS at the Fermi energy: 3.0 states/eV/cell
- M_tot: 0.0 μB/f.u.
- ΔE_f (raw): 486 meV/atom
- Symmetry: I4/mmm (139)
- VASP energy: -1.825 eV/atom